No. 1
# PrIn3Sn2

Crystalline PrIn3Sn2 at its relaxed geometry (PBE, the Alexandria database).

```
data_PrIn3Sn2
_symmetry_space_group_name_H-M 'C m m m'
_symmetry_Int_Tables_number 65
_symmetry_space_group_name_Hall '-C 2 2'
_cell_length_a 5.038
_cell_length_b 15.021
_cell_length_c 4.324
_cell_angle_alpha 90.00
_cell_angle_beta 90.00
_cell_angle_gamma 90.00
loop_
_atom_site_label
_atom_site_fract_x
_atom_site_fract_y
_atom_site_fract_z
_atom_site_occupancy
Pr1 0.000 0.000 0.000 1
In1 0.000 0.177 0.500 1
In2 0.000 0.500 0.500 1
Sn1 0.000 0.339 0.000 1
```

Results
The energy relative to the elements comes out at -1.4 eV/f.u. As for the crystal system: orthorhombic.

***

No. 2
# CaTaSeBr2

Crystalline CaTaSeBr2 at its relaxed geometry (PBE, the Alexandria database).

```
data_CaTaSeBr2
_symmetry_space_group_name_H-M 'P 4/m m m'
_symmetry_Int_Tables_number 123
_symmetry_space_group_name_Hall '-P 4 2'
_cell_length_a 5.251
_cell_length_b 5.251
_cell_length_c 5.049
_cell_angle_alpha 90.00
_cell_angle_beta 90.00
_cell_angle_gamma 90.00
loop_
_atom_site_label
_atom_site_fract_x
_atom_site_fract_y
_atom_site_fract_z
_atom_site_occupancy
Ca1 0.000 0.000 0.000 1
Ta1 0.500 0.500 0.500 1
Se1 0.500 0.500 0.000 1
Br1 0.000 0.500 0.500 1
```

Results
Its energy above the most stable polymorph in this dataset is 0 meV/atom. As for the crystal system: tetragonal. For the raw formation energy, the calculation gives -0.451 eV per atom.

***

No. 3
# Ba2NaGaIr

Crystalline Ba2NaGaIr at its relaxed geometry (PBE, the Alexandria database).

```
data_Ba2NaGaIr
_symmetry_space_group_name_H-M 'P 4/m m m'
_symmetry_Int_Tables_number 123
_symmetry_space_group_name_Hall '-P 4 2'
_cell_length_a 6.184
_cell_length_b 6.184
_cell_length_c 4.906
_cell_angle_alpha 90.00
_cell_angle_beta 90.00
_cell_angle_gamma 90.00
loop_
_atom_site_label
_atom_site_fract_x
_atom_site_fract_y
_atom_site_fract_z
_atom_site_occupancy
Ba1 0.000 0.500 0.000 1
Na1 0.000 0.000 0.500 1
Ga1 0.500 0.500 0.500 1
Ir1 0.500 0.500 0.000 1
```

Results
The energy relative to the elements comes out at -1.0 eV/f.u. As for the crystal system: tetragonal.

***

No. 4
# SbMoOs

Crystalline SbMoOs at its relaxed geometry (PBE, the Alexandria database).

```
data_SbMoOs
_symmetry_space_group_name_H-M 'I 4 m m'
_symmetry_Int_Tables_number 107
_symmetry_space_group_name_Hall 'I 4 -2'
_cell_length_a 3.023
_cell_length_b 3.023
_cell_length_c 11.381
_cell_angle_alpha 90.00
_cell_angle_beta 90.00
_cell_angle_gamma 90.00
loop_
_atom_site_label
_atom_site_fract_x
_atom_site_fract_y
_atom_site_fract_z
_atom_site_occupancy
Sb1 0.000 0.000 0.000 1
Mo1 0.000 0.000 0.682 1
Os1 0.000 0.000 0.322 1
```

Results
Its energy above the most stable polymorph in this dataset is 176 meV/atom. As for the crystal system: tetragonal. For the raw formation energy, the calculation gives 0.324 eV per atom.

***

No. 5
# PrCu10Pd2

Crystalline PrCu10Pd2 at its relaxed geometry (PBE, the Alexandria database).

```
data_PrCu10Pd2
_symmetry_space_group_name_H-M 'F m m m'
_symmetry_Int_Tables_number 69
_symmetry_space_group_name_Hall '-F 2 2'
_cell_length_a 5.173
_cell_length_b 11.883
_cell_length_c 12.287
_cell_angle_alpha 90.00
_cell_angle_beta 90.00
_cell_angle_gamma 90.00
loop_
_atom_site_label
_atom_site_fract_x
_atom_site_fract_y
_atom_site_fract_z
_atom_site_occupancy
Pr1 0.000 0.000 0.000 1
Cu1 0.000 0.110 0.382 1
Cu2 0.000 0.176 0.179 1
Cu3 0.250 0.000 0.250 1
Pd1 0.250 0.250 0.000 1
```

Results
The energy relative to the elements comes out at -1.4 eV/f.u. As for the crystal system: orthorhombic.

***

No. 6
# PrNdHoTl

Crystalline PrNdHoTl at its relaxed geometry (PBE, the Alexandria database).

```
data_PrNdHoTl
_symmetry_space_group_name_H-M 'F -4 3 m'
_symmetry_Int_Tables_number 216
_symmetry_space_group_name_Hall 'F -4 2 3'
_cell_length_a 7.920
_cell_length_b 7.920
_cell_length_c 7.920
_cell_angle_alpha 90.00
_cell_angle_beta 90.00
_cell_angle_gamma 90.00
loop_
_atom_site_label
_atom_site_fract_x
_atom_site_fract_y
_atom_site_fract_z
_atom_site_occupancy
Pr1 0.000 0.000 0.000 1
Nd1 0.000 0.000 0.500 1
Ho1 0.250 0.250 0.250 1
Tl1 0.250 0.250 0.750 1
```

Results
The energy relative to the elements comes out at -0.3 eV/f.u. Its energy above the most stable polymorph in this dataset is 124 meV/atom. As for the crystal system: cubic.

***

No. 7
# SrSi2Rh

Crystalline SrSi2Rh at its relaxed geometry (PBE, the Alexandria database).

```
data_SrSi2Rh
_symmetry_space_group_name_H-M 'C 1 m 1'
_symmetry_Int_Tables_number 8
_symmetry_space_group_name_Hall 'C -2y'
_cell_length_a 7.153
_cell_length_b 4.109
_cell_length_c 6.198
_cell_angle_alpha 90.00
_cell_angle_beta 112.75
_cell_angle_gamma 90.00
loop_
_atom_site_label
_atom_site_fract_x
_atom_site_fract_y
_atom_site_fract_z
_atom_site_occupancy
Sr1 0.000 0.000 0.000 1
Si1 0.041 0.500 0.622 1
Si2 0.301 0.500 0.398 1
Rh1 0.185 0.000 0.553 1
```

Results
As for the crystal system: monoclinic. For the raw formation energy, the calculation gives -0.598 eV per atom.

***

No. 8
# Th3Al3Ni2

Crystalline Th3Al3Ni2 at its relaxed geometry (PBE, the Alexandria database).

```
data_Th3Al3Ni2
_symmetry_space_group_name_H-M 'C 1 2/m 1'
_symmetry_Int_Tables_number 12
_symmetry_space_group_name_Hall '-C 2y'
_cell_length_a 16.315
_cell_length_b 4.289
_cell_length_c 5.034
_cell_angle_alpha 90.00
_cell_angle_beta 100.38
_cell_angle_gamma 90.00
loop_
_atom_site_label
_atom_site_fract_x
_atom_site_fract_y
_atom_site_fract_z
_atom_site_occupancy
Th1 0.000 0.000 0.000 1
Th2 0.158 0.000 0.591 1
Al1 0.000 0.500 0.500 1
Al2 0.147 0.500 0.079 1
Ni1 0.223 0.000 0.127 1
```

Results
The energy relative to the elements comes out at -3.7 eV/f.u. As for the crystal system: monoclinic.

***

No. 9
# Sm2TmTe

Crystalline Sm2TmTe at its relaxed geometry (PBE, the Alexandria database).

```
data_Sm2TmTe
_symmetry_space_group_name_H-M 'R -3 m'
_symmetry_Int_Tables_number 166
_symmetry_space_group_name_Hall '-R 3 2"'
_cell_length_a 3.8726
_cell_length_b 3.8726
_cell_length_c 32.1525
_cell_angle_alpha 90.00
_cell_angle_beta 90.00
_cell_angle_gamma 120.00
loop_
_atom_site_label
_atom_site_fract_x
_atom_site_fract_y
_atom_site_fract_z
_atom_site_occupancy
Sm1 0.0000 0.0000 0.1013 1
Tm1 0.0000 0.0000 0.0000 1
Te1 0.0000 0.0000 0.5000 1
```

Results
Its energy above the most stable polymorph in this dataset is 345 meV/atom. As for the crystal system: trigonal. For the raw formation energy, the calculation gives -0.223 eV per atom.

***

No. 10
# SbMoOs2

Crystalline SbMoOs2 at its relaxed geometry (PBE, the Alexandria database).

```
data_SbMoOs2
_symmetry_space_group_name_H-M 'R 3 m'
_symmetry_Int_Tables_number 160
_symmetry_space_group_name_Hall 'R 3 -2"'
_cell_length_a 2.9269
_cell_length_b 2.9269
_cell_length_c 26.4103
_cell_angle_alpha 90.00
_cell_angle_beta 90.00
_cell_angle_gamma 120.00
loop_
_atom_site_label
_atom_site_fract_x
_atom_site_fract_y
_atom_site_fract_z
_atom_site_occupancy
Sb1 0.0000 0.0000 0.0000 1
Mo1 0.0000 0.0000 0.7548 1
Os1 0.0000 0.0000 0.2498 1
Os2 0.0000 0.0000 0.5019 1
```

Results
As for the crystal system: trigonal. For the raw formation energy, the calculation gives 0.499 eV per atom.

***

No. 11
# TiV2Mo4

Crystalline TiV2Mo4 at its relaxed geometry (PBE, the Alexandria database).

```
data_TiV2Mo4
_symmetry_space_group_name_H-M 'C m m m'
_symmetry_Int_Tables_number 65
_symmetry_space_group_name_Hall '-C 2 2'
_cell_length_a 3.185
_cell_length_b 21.932
_cell_length_c 3.108
_cell_angle_alpha 90.00
_cell_angle_beta 90.00
_cell_angle_gamma 90.00
loop_
_atom_site_label
_atom_site_fract_x
_atom_site_fract_y
_atom_site_fract_z
_atom_site_occupancy
Ti1 0.000 0.000 0.000 1
V1 0.000 0.291 0.500 1
Mo1 0.000 0.145 0.000 1
Mo2 0.000 0.426 0.500 1
```

Results
The energy relative to the elements comes out at 0.7 eV/f.u. Its energy above the most stable polymorph in this dataset is 0 meV/atom. As for the crystal system: orthorhombic.

***

No. 12
# Tb4Y3Co4

Crystalline Tb4Y3Co4 at its relaxed geometry (PBE, the Alexandria database).

```
data_Tb4Y3Co4
_symmetry_space_group_name_H-M 'I m m m'
_symmetry_Int_Tables_number 71
_symmetry_space_group_name_Hall '-I 2 2'
_cell_length_a 3.630
_cell_length_b 8.834
_cell_length_c 15.560
_cell_angle_alpha 90.00
_cell_angle_beta 90.00
_cell_angle_gamma 90.00
loop_
_atom_site_label
_atom_site_fract_x
_atom_site_fract_y
_atom_site_fract_z
_atom_site_occupancy
Tb1 0.000 0.185 0.165 1
Y1 0.000 0.000 0.396 1
Y2 0.000 0.500 0.500 1
Co1 0.000 0.287 0.000 1
Co2 0.000 0.500 0.250 1
```

Results
The energy relative to the elements comes out at -0.8 eV/f.u. As for the crystal system: orthorhombic.